Material: PmEr2Pu
Method: DFT, PBE
State: optimized geometry

ΔH_f (0 K)	197.9	meV per atom
energy relative to the lowest polymorph listed for this composition	96	meV per atom

Unit cell a=5.597 b=5.597 c=5.597 alpha=60.00 beta=60.00 gamma=60.00
Last column: magnetic moment on the atom in μB.
Atoms (fractional coordinates):
Er  0.250  0.250  0.250  0.17
Er  0.750  0.750  0.750  0.17
Pm  0.000  0.000  0.000  0.02
Pu  0.500  0.500  0.500  5.52